Entry 1:
Density functional theory data (PBEsol) for a geometry-optimized Rb structure.

abc: 4.9306 4.9306 12.0532
angles: 90.00 90.00 120.00
Closest atoms and distances in Å follow each position.
Positions (direct):
Rb  0.0000  0.6581  0.8333  12 Rb 4.90-4.97
Rb  0.6581  0.0000  0.5000  12 Rb 4.90-4.97
Rb  0.3419  0.3419  0.1667  12 Rb 4.90-4.97

Calculated total energy: -1.02 eV per atom
Magnetization: 0.000 μB/f.u.
Formation energy from the elements: 0.001 eV/atom

Entry 2:
Density functional theory data (PBEsol) for a geometry-optimized Cs3RbBr structure.

abc: 7.2463 7.2463 7.2463
angles: 90.00 90.00 90.00
Closest atoms and distances in Å follow each position.
Positions (direct):
Br  0.0000  0.0000  0.0000  6 Cs 3.62
Cs  0.0000  0.5000  0.0000  2 Br 3.62
Cs  0.0000  0.0000  0.5000  2 Br 3.62
Cs  0.5000  0.0000  0.0000  2 Br 3.62
Rb  0.5000  0.5000  0.5000  12 Cs 5.12

Calculated total energy: -1.82 eV per atom
Magnetization: 0.000 μB/f.u.

Entry 3:
Density functional theory data (PBEsol) for a geometry-optimized Cr2BBrCl structure.

abc: 4.1481 4.9471 4.9471
angles: 90.00 90.00 90.00
Closest atoms and distances in Å follow each position.
Positions (direct):
Cr  0.0000  0.0000  0.5000  2 Br 2.47
Cr  0.0000  0.5000  0.0000  2 Br 2.47
Cl  0.5000  0.5000  0.5000  8 Cr 3.23, 4 B 3.50
B  0.5000  0.0000  0.0000  2 Br 2.07
Br  0.0000  0.0000  0.0000  2 B 2.07

Calculated total energy: -4.74 eV per atom
Magnetization: 8.586 μB/f.u.

Entry 4:
Density functional theory data (PBEsol) for a geometry-optimized ZnBiO2F structure.

abc: 3.8339 3.9872 3.9872
angles: 90.00 90.00 90.00
Closest atoms and distances in Å follow each position.
Positions (direct):
F  0.5000  0.0000  0.0000  2 Zn 1.92
O  0.0000  0.5000  0.0000  2 Zn 1.99
O  0.0000  0.0000  0.5000  2 Zn 1.99
Bi  0.5000  0.5000  0.5000  8 O 2.77, 4 F 2.82
Zn  0.0000  0.0000  0.0000  2 F 1.92, 4 O 1.99

Calculated total energy: -4.90 eV per atom
Magnetization: 0.000 μB/f.u.

Entry 5:
Density functional theory data (PBEsol) for a geometry-optimized CaIr2Se structure.

abc: 3.7767 3.6270 5.8257
angles: 106.47 90.00 90.00
Closest atoms and distances in Å follow each position.
Positions (direct):
Ca  0.5000  0.1919  0.7320  4 Ir 2.82-3.11, 4 Se 2.96-3.03
Ir  0.5000  0.6969  0.1998  2 Ir 2.46, 2 Se 2.61
Ir  0.0000  0.0543  0.0963  1 Se 2.42, 2 Ir 2.46
Se  0.0000  0.5568  0.4719  3 Ir 2.42-2.61

Calculated total energy: -6.52 eV per atom
Magnetization: 0.000 μB/f.u.

Entry 6:
Density functional theory data (PBEsol) for a geometry-optimized RbSrSiHO4 structure.

abc: 5.7601 5.8049 7.7812
angles: 90.00 90.00 118.90
Closest atoms and distances in Å follow each position.
Positions (direct):
O  0.8479  0.2122  0.7610  1 Si 1.63
O  0.8791  0.6960  0.7599  1 Si 1.64
O  0.1209  0.3040  0.2599  1 Si 1.64
O  0.4861  0.3030  0.9326  1 H 1.06
O  0.4739  0.2959  0.5948  1 H 1.50, 1 Si 1.65
O  0.5139  0.6970  0.4326  1 H 1.06
O  0.1521  0.7878  0.2610  1 Si 1.63
O  0.5261  0.7041  0.0948  1 H 1.50, 1 Si 1.65
Si  0.6848  0.3768  0.7557  4 O 1.63-1.71
Si  0.3152  0.6232  0.2557  4 O 1.63-1.71
Rb  0.6418  0.2849  0.2670  2 H 2.64-2.67, 4 O 2.71-2.90
Rb  0.3582  0.7151  0.7670  2 H 2.64-2.67, 4 O 2.71-2.90
H  0.5055  0.4707  0.9988  1 O 1.06
H  0.4945  0.5293  0.4988  1 O 1.06
Sr  0.9916  0.9943  0.0133  6 O 2.46-2.67
Sr  0.0084  0.0057  0.5133  6 O 2.46-2.67

Calculated total energy: -6.52 eV per atom
Magnetization: 0.000 μB/f.u.

Entry 7:
Density functional theory data (PBEsol) for a geometry-optimized ZrZnFe2 structure.

abc: 3.6341 3.6341 4.8716
angles: 111.90 111.90 90.00
Closest atoms and distances in Å follow each position.
Positions (direct):
Zr  0.2500  0.7500  0.5000  8 Fe 2.57-2.75, 4 Zn 2.75
Fe  0.0000  0.0000  0.0000  4 Zn 2.57, 4 Zr 2.75, 4 Fe 2.75
Fe  0.7500  0.2500  0.5000  4 Zr 2.57, 4 Fe 2.75, 4 Zn 2.75
Zn  0.5000  0.5000  0.0000  8 Fe 2.57-2.75, 4 Zr 2.75

Calculated total energy: -7.17 eV per atom
Magnetization: 2.733 μB/f.u.
Formation energy from the elements: -0.020 eV/atom

Entry 8:
Density functional theory data (PBEsol) for a geometry-optimized MnHO2 structure.

abc: 2.8833 4.5231 10.5166
angles: 90.00 90.00 90.00
Closest atoms and distances in Å follow each position.
Positions (direct):
O  0.2500  0.1903  0.5711  1 H 1.04
O  0.7500  0.8097  0.4289  1 H 1.04
O  0.2500  0.6846  0.6868  1 H 1.51
O  0.2500  0.8154  0.1868  1 H 1.51
O  0.7500  0.3154  0.3132  1 H 1.51
O  0.7500  0.6903  0.9289  1 H 1.04
O  0.7500  0.1846  0.8132  1 H 1.51
O  0.2500  0.3097  0.0711  1 H 1.04
Mn  0.7500  0.5627  0.1381  4 O 1.91-1.97
Mn  0.7500  0.9373  0.6381  4 O 1.91-1.97
Mn  0.2500  0.0627  0.3619  4 O 1.91-1.97
Mn  0.2500  0.4373  0.8619  4 O 1.91-1.97
H  0.2500  0.0975  0.1103  1 O 1.04
H  0.2500  0.4025  0.6103  1 O 1.04
H  0.7500  0.9025  0.8897  1 O 1.04
H  0.7500  0.5975  0.3897  1 O 1.04

Calculated total energy: -7.27 eV per atom
Magnetization: 3.988 μB/f.u.

Entry 9:
Density functional theory data (PBEsol) for a geometry-optimized SrCuGe2Te structure.

abc: 5.3094 5.3094 5.9838
angles: 90.00 90.00 90.00
Closest atoms and distances in Å follow each position.
Positions (direct):
Ge  0.0000  0.5000  0.0000  2 Te 2.65
Ge  0.5000  0.0000  0.0000  2 Te 2.65
Te  0.0000  0.0000  0.0000  4 Ge 2.65
Sr  0.0000  0.0000  0.5000  2 Te 2.99
Cu  0.5000  0.5000  0.5000  4 Sr 3.75, 8 Ge 4.00

Calculated total energy: -3.13 eV per atom
Magnetization: 0.001 μB/f.u.

Entry 10:
Density functional theory data (PBEsol) for a geometry-optimized ScAl2Tc structure.

abc: 4.1324 4.6902 4.1324
angles: 116.14 90.00 116.14
Closest atoms and distances in Å follow each position.
Positions (direct):
Sc  0.5000  0.0000  0.5000  8 Al 2.76, 4 Tc 2.92
Tc  0.0000  0.0000  0.0000  8 Al 2.76, 4 Sc 2.92
Al  0.2500  0.5000  0.7500  4 Tc 2.76, 4 Sc 2.76, 4 Al 2.92
Al  0.7500  0.5000  0.2500  4 Tc 2.76, 4 Sc 2.76, 4 Al 2.92

Calculated total energy: -6.90 eV per atom
Magnetization: 0.001 μB/f.u.
Formation energy from the elements: -0.387 eV/atom

Entry 11:
Density functional theory data (PBEsol) for a geometry-optimized NiP2 structure.

abc: 5.3959 5.3959 5.3959
angles: 90.00 90.00 90.00
Closest atoms and distances in Å follow each position.
Positions (direct):
P  0.6170  0.6170  0.6170  1 P 2.19, 3 Ni 2.25
P  0.3830  0.1170  0.8830  1 P 2.19, 3 Ni 2.25
P  0.1170  0.8830  0.3830  1 P 2.19, 3 Ni 2.25
P  0.3830  0.3830  0.3830  1 P 2.19, 3 Ni 2.25
P  0.8830  0.3830  0.1170  1 P 2.19, 3 Ni 2.25
P  0.1170  0.6170  0.8830  1 P 2.19, 3 Ni 2.25
P  0.8830  0.1170  0.6170  1 P 2.19, 3 Ni 2.25
P  0.6170  0.8830  0.1170  1 P 2.19, 3 Ni 2.25
Ni  0.5000  0.5000  0.0000  6 P 2.25
Ni  0.0000  0.0000  0.0000  6 P 2.25
Ni  0.5000  0.0000  0.5000  6 P 2.25
Ni  0.0000  0.5000  0.5000  6 P 2.25

Calculated total energy: -6.38 eV per atom
Magnetization: 0.000 μB/f.u.
Formation energy from the elements: -0.465 eV/atom

Entry 12:
Density functional theory data (PBEsol) for a geometry-optimized BaLaSe2 structure.

abc: 4.4311 4.4311 6.2568
angles: 90.00 90.00 90.00
Closest atoms and distances in Å follow each position.
Positions (direct):
Se  0.0000  0.0000  0.5000  2 Ba 3.13, 4 La 3.13
Se  0.5000  0.5000  0.0000  2 La 3.13, 4 Ba 3.13
Ba  0.0000  0.0000  0.0000  6 Se 3.13
La  0.5000  0.5000  0.5000  6 Se 3.13

Calculated total energy: -5.74 eV per atom
Magnetization: 0.000 μB/f.u.

Entry 13:
Density functional theory data (PBEsol) for a geometry-optimized PdPtN2F structure.

abc: 3.8540 3.9181 3.9181
angles: 90.00 90.00 90.00
Closest atoms and distances in Å follow each position.
Positions (direct):
F  0.5000  0.0000  0.0000  2 Pd 1.93
Pd  0.0000  0.0000  0.0000  2 F 1.93, 4 N 1.96
N  0.0000  0.5000  0.0000  2 Pd 1.96
N  0.0000  0.0000  0.5000  2 Pd 1.96
Pt  0.5000  0.5000  0.5000  8 N 2.75, 4 F 2.77

Calculated total energy: -5.02 eV per atom
Magnetization: 0.003 μB/f.u.